Entry from Alexandria via LeMat-Bulk: crystalline Na3Nd2TmS6 at its relaxed geometry (PBE-GGA).

Lattice parameters (Å, degrees): 7.044 12.200 7.095 90.00 109.35 90.00
Space group C2/m (No. 12)
Unique sites:
Na1 0.000 0.000 0.000 (multiplicity 2)
Na2 0.000 0.334 0.000 (multiplicity 4)
Nd1 0.000 0.167 0.500 (multiplicity 4)
Tm1 0.000 0.500 0.500 (multiplicity 2)
S1 0.238 0.339 0.730 (multiplicity 8)
S2 0.245 0.500 0.271 (multiplicity 4)

Output
- crystal system = monoclinic
- uncorrected formation energy (eV per atom) = -1.809
- total energy (eV per atom) = -5.370

---

Entry from Alexandria via LeMat-Bulk: crystalline Na3Nd3US8 at its relaxed geometry (PBE-GGA).

Lattice parameters (Å, degrees): 8.2311 8.2311 20.1397 90.00 90.00 120.00
Space group R-3m (No. 166, hexagonal axes)
Unique sites:
Na1 0.0000 0.5000 0.0000 (multiplicity 9)
Nd1 0.0000 0.5000 0.5000 (multiplicity 9)
U1 0.0000 0.0000 0.5000 (multiplicity 3)
S1 0.0000 0.0000 0.2446 (multiplicity 6)
S2 0.0157 0.5079 0.2404 (multiplicity 18)

Output
- crystal system = trigonal
- uncorrected formation energy (eV per atom) = -1.700
- total energy (eV per atom) = -5.871